## TlFe2AuO (PBE+U)

Data for a relaxed structure of TlFe2AuO.

POSCAR file:
```
TlFe2AuO
1.0
5.3800 0.0000 0.0000
0.0000 5.3800 0.0000
0.0000 0.0000 4.2054
Tl Fe Au O
1 2 1 1
direct
0.0000 0.0000 0.0000
0.0000 0.5000 0.0000
0.5000 0.0000 0.0000
0.5000 0.5000 0.5000
0.0000 0.0000 0.5000
```

Properties
Its space group is P4/mmm. Its calculated density is 7.2 g cm⁻³. For the total magnetic moment, the calculation gives 1.6332 μB per atom. The total energy comes out at -3.329 eV per atom.